Entry 1:
Material: CaNd6Th
Method: DFT, GGA-PBE
State: relaxed

For the size of the total moment, the calculation gives 0.00 μB per atom. Its crystal system is tetragonal. As for the total energy: -4.6930 eV per atom.

It has space group P4/mmm (No. 123), with a = 5.218 Å, b = 5.218 Å, c = 10.383 Å, α = 90.00°, β = 90.00° and γ = 90.00°. The asymmetric unit holds Ca at (0.000, 0.000, 0.000), Nd at (0.000, 0.500, 0.261), Nd at (0.500, 0.500, 0.000), Nd at (0.500, 0.500, 0.500) and Th at (0.000, 0.000, 0.500).


Entry 2:
Material: CaNdTh
Method: DFT, GGA-PBE
State: relaxed

For the size of the total moment, the calculation gives 0.00 μB per atom. Its crystal system is tetragonal. Its relative energy among the computed polymorphs is 0.000 eV per atom. As for the total energy: -4.6962 eV per atom.

It has space group P4/nmm (No. 129, origin choice 2), with a = 3.668 Å, b = 3.668 Å, c = 16.022 Å, α = 90.00°, β = 90.00° and γ = 90.00°. The asymmetric unit holds Ca at (0.250, 0.250, 0.092), Nd at (0.250, 0.250, 0.729) and Th at (0.250, 0.250, 0.426).


Entry 3:
Material: CaNdTh
Method: DFT, GGA-PBE
State: relaxed

For the size of the total moment, the calculation gives 0.00 μB per atom. Its crystal system is trigonal. Its relative energy among the computed polymorphs is 0.089 eV per atom. As for the total energy: -4.6072 eV per atom.

It has space group R-3m (No. 166, hexagonal axes), with a = 3.6203 Å, b = 3.6203 Å, c = 57.1221 Å, α = 90.00°, β = 90.00° and γ = 120.00°. The asymmetric unit holds Ca at (0.0000, 0.0000, 0.1947), Nd at (0.0000, 0.0000, 0.2561) and Th at (0.0000, 0.0000, 0.3589).


Entry 4:
Material: CaNd4Th2
Method: DFT, GGA-PBE
State: relaxed

For the size of the total moment, the calculation gives 0.00 μB per atom. Its crystal system is trigonal. As for the total energy: -5.0758 eV per atom.

It has space group R-3m (No. 166, hexagonal axes), with a = 3.6604 Å, b = 3.6604 Å, c = 63.5470 Å, α = 90.00°, β = 90.00° and γ = 120.00°. The asymmetric unit holds Ca at (0.0000, 0.0000, 0.0000), Nd at (0.0000, 0.0000, 0.0970), Nd at (0.0000, 0.0000, 0.3841) and Th at (0.0000, 0.0000, 0.1891).


Entry 5:
Material: CaNd4Th
Method: DFT, GGA-PBE
State: relaxed

For the size of the total moment, the calculation gives 0.00 μB per atom. Its crystal system is triclinic. As for the total energy: -4.6951 eV per atom.

It has space group P-1 (No. 2), with a = 3.660 Å, b = 6.385 Å, c = 9.773 Å, α = 77.80°, β = 79.52° and γ = 73.76°. The asymmetric unit holds Ca at (0.000, 0.000, 0.000), Nd at (0.332, 0.989, 0.344), Nd at (0.337, 0.508, 0.818) and Th at (0.000, 0.500, 0.500).


Entry 6:
Material: CaNdTh
Method: DFT, GGA-PBE
State: relaxed

For the size of the total moment, the calculation gives 0.00 μB per atom. Its crystal system is tetragonal. Its relative energy among the computed polymorphs is 0.077 eV per atom. As for the total energy: -4.6196 eV per atom.

It has space group I4mm (No. 107), with a = 3.605 Å, b = 3.605 Å, c = 16.624 Å, α = 90.00°, β = 90.00° and γ = 90.00°. The asymmetric unit holds Ca at (0.000, 0.000, 0.000), Nd at (0.000, 0.000, 0.682) and Th at (0.000, 0.000, 0.329).


Entry 7:
Material: CaNdTmTh
Method: DFT, GGA-PBE
State: relaxed

For the size of the total moment, the calculation gives 0.06 μB per atom. Its crystal system is cubic. As for the total energy: -4.4351 eV per atom.

It has space group F-43m (No. 216), with a = 8.157 Å, b = 8.157 Å, c = 8.157 Å, α = 90.00°, β = 90.00° and γ = 90.00°. The asymmetric unit holds Ca at (0.000, 0.000, 0.000), Nd at (0.250, 0.250, 0.250), Tm at (0.250, 0.250, 0.750) and Th at (0.000, 0.000, 0.500).


Entry 8:
Material: CaNd2Ti
Method: DFT, GGA-PBE
State: relaxed

For the size of the total moment, the calculation gives 0.30 μB per atom. Its crystal system is trigonal. As for the total energy: -4.3359 eV per atom.

It has space group R-3m (No. 166, hexagonal axes), with a = 3.4178 Å, b = 3.4178 Å, c = 37.2657 Å, α = 90.00°, β = 90.00° and γ = 120.00°. The asymmetric unit holds Ca at (0.0000, 0.0000, 0.0000), Nd at (0.0000, 0.0000, 0.4214) and Ti at (0.0000, 0.0000, 0.5000).


Entry 9:
Material: CaNd12Tl3
Method: DFT, GGA-PBE
State: relaxed

For the size of the total moment, the calculation gives 0.00 μB per atom. Its crystal system is tetragonal. As for the total energy: -4.2715 eV per atom.

It has space group P4/mmm (No. 123), with a = 5.016 Å, b = 5.016 Å, c = 20.557 Å, α = 90.00°, β = 90.00° and γ = 90.00°. The asymmetric unit holds Ca at (0.000, 0.000, 0.000), Nd at (0.000, 0.500, 0.135), Nd at (0.000, 0.500, 0.378), Nd at (0.500, 0.500, 0.000), Nd at (0.500, 0.500, 0.256), Nd at (0.500, 0.500, 0.500), Tl at (0.000, 0.000, 0.258) and Tl at (0.000, 0.000, 0.500).


Entry 10:
Material: Ca4NdTl2
Method: DFT, GGA-PBE
State: relaxed

For the size of the total moment, the calculation gives 0.00 μB per atom. Its crystal system is trigonal. As for the total energy: -2.5602 eV per atom.

It has space group R-3m (No. 166, hexagonal axes), with a = 5.4514 Å, b = 5.4514 Å, c = 31.2258 Å, α = 90.00°, β = 90.00° and γ = 120.00°. The asymmetric unit holds Ca at (0.0000, 0.0000, 0.0998), Ca at (0.0000, 0.0000, 0.2962), Nd at (0.0000, 0.0000, 0.5000) and Tl at (0.0000, 0.0000, 0.4006).


Entry 11:
Material: CaNd2Tl
Method: DFT, GGA-PBE
State: relaxed

For the size of the total moment, the calculation gives 0.00 μB per atom. Its crystal system is tetragonal. Its relative energy among the computed polymorphs is 0.070 eV per atom. As for the total energy: -3.5859 eV per atom.

It has space group P4/mmm (No. 123), with a = 4.171 Å, b = 4.171 Å, c = 7.537 Å, α = 90.00°, β = 90.00° and γ = 90.00°. The asymmetric unit holds Ca at (0.000, 0.000, 0.000), Nd at (0.500, 0.500, 0.272) and Tl at (0.000, 0.000, 0.500).


Entry 12:
Material: CaNd2Tl
Method: DFT, GGA-PBE
State: relaxed

For the size of the total moment, the calculation gives 0.00 μB per atom. Its crystal system is trigonal. Its relative energy among the computed polymorphs is 0.337 eV per atom. As for the total energy: -3.3186 eV per atom.

It has space group R-3m (No. 166, hexagonal axes), with a = 3.6316 Å, b = 3.6316 Å, c = 38.3154 Å, α = 90.00°, β = 90.00° and γ = 120.00°. The asymmetric unit holds Ca at (0.0000, 0.0000, 0.0000), Nd at (0.0000, 0.0000, 0.4141) and Tl at (0.0000, 0.0000, 0.5000).


D(E_F), record by record: 12.697, 4.627, 4.132, 10.361, 9.746, 4.023, 8.790, 6.651, 22.976, 10.527, 5.150, 5.815 states/eV/f.u.